A relaxed Y2Re3 crystal. Source: Alexandria via LeMat-Bulk, functional PBE-GGA.

Cell: 9.002 8.124 5.664 Å, 79.33 62.48 38.19°
Fractional coordinates of all 10 atoms:
Re (0.946, 0.806, 0.389)
Re (0.861, 0.391, 0.304)
Re (0.899, 0.101, 0.101)
Re (0.149, 0.351, 0.351)
Re (0.444, 0.304, 0.391)
Re (0.859, 0.389, 0.806)
Y (0.517, 0.385, 0.819)
Y (0.279, 0.819, 0.385)
Y (0.865, 0.733, 0.971)
Y (0.431, 0.971, 0.733)

Values from the calculation:
* M_tot: 0.00 Bohr magnetons per cell
* SG: Fdd2
* volume: 214.8 Å³/cell
* calculated formation energy: 0.06 eV per atom
* total energy: -9.9905 eV/atom

=====

A relaxed YRe7 crystal. Source: Alexandria via LeMat-Bulk, functional PBE-GGA.

Cell: 5.662 5.662 5.662 Å, 60.00 60.00 60.00°
Fractional coordinates of all 8 atoms:
Re (0.000, 0.500, 0.000)
Re (0.500, 0.500, 0.000)
Re (0.000, 0.500, 0.500)
Re (0.500, 0.500, 0.500)
Re (0.500, 0.000, 0.500)
Re (0.000, 0.000, 0.500)
Re (0.500, 0.000, 0.000)
Y (0.000, 0.000, 0.000)

Values from the calculation:
* M_tot: 0.00 Bohr magnetons per cell
* SG: Fm-3m
* volume: 128.4 Å³/cell
* calculated formation energy: 0.44 eV per atom
* total energy: -11.2593 eV/atom

=====

A relaxed Y3Re crystal. Source: Alexandria via LeMat-Bulk, functional PBE-GGA.

Cell: 4.630 4.630 4.630 Å, 90.00 90.00 90.00°
Fractional coordinates of all 4 atoms:
Re (0.000, 0.000, 0.000)
Y (0.500, 0.500, 0.000)
Y (0.000, 0.500, 0.500)
Y (0.500, 0.000, 0.500)

Values from the calculation:
* M_tot: 0.27 Bohr magnetons per cell
* SG: Pm-3m
* volume: 99.3 Å³/cell
* calculated formation energy: 0.38 eV per atom
* total energy: -7.5819 eV/atom

=====

A relaxed Y3Re crystal. Source: Alexandria via LeMat-Bulk, functional PBE-GGA.

Cell: 6.630 6.630 10.447 Å, 90.00 90.00 120.00°
Fractional coordinates of all 16 atoms:
Re (0.000, 0.000, 0.500)
Re (0.000, 0.000, 0.000)
Re (0.667, 0.333, 0.750)
Re (0.333, 0.667, 0.250)
Y (0.683, 0.842, 0.750)
Y (0.158, 0.842, 0.750)
Y (0.000, 0.500, 0.000)
Y (0.158, 0.317, 0.750)
Y (0.500, 0.500, 0.000)
Y (0.500, 0.000, 0.000)
Y (0.500, 0.000, 0.500)
Y (0.317, 0.158, 0.250)
Y (0.000, 0.500, 0.500)
Y (0.842, 0.158, 0.250)
Y (0.842, 0.683, 0.250)
Y (0.500, 0.500, 0.500)

Values from the calculation:
* M_tot: 0.00 Bohr magnetons per cell
* SG: P6_3/mmc
* volume: 397.7 Å³/cell
* calculated formation energy: 0.32 eV per atom
* total energy: -7.6408 eV/atom